Arrangement A

Density functional theory data (PBE-GGA) for an optimized crystal structure of Cs2HgF.

Computed properties:
**Calculated volume**: 650.0 Å³ per cell
**Symmetry**: No. 8

Cell: 11.668 4.257 14.376 Å, 90.00 114.46 90.00°
Fractional positions:
Cs  0.445  0.000  0.592
F  0.668  0.500  0.060
Cs  0.646  0.500  0.400
Cs  0.234  0.000  0.236
Cs  0.846  0.500  0.689
Hg  0.994  0.500  0.003
F  0.490  0.000  0.247
Hg  0.994  0.000  0.503
Cs  0.234  0.500  0.736
F  0.668  0.000  0.560
Cs  0.445  0.500  0.092
Hg  0.117  0.500  0.421
Cs  0.646  0.000  0.900
Hg  0.117  0.000  0.921
Cs  0.846  0.000  0.189
F  0.490  0.500  0.747

Arrangement B

Density functional theory data (PBE-GGA) for an optimized crystal structure of Cs2HgF.

Computed properties:
**Calculated volume**: 145.8 Å³ per cell
**Symmetry**: No. 123

Cell: 3.974 3.974 9.231 Å, 90.00 90.00 90.00°
Fractional positions:
Cs  0.000  0.000  0.198
F  0.500  0.500  0.000
Hg  0.500  0.500  0.500
Cs  0.000  0.000  0.802

It comes down to arrangement A, which is 110 meV/atom more stable than the next structure.

Arrangement A

Density functional theory data (PBE-GGA) for an optimized crystal structure of Cs2HgF.

Computed properties:
**Calculated volume**: 161.1 Å³ per cell
**Symmetry**: No. 160

Cell: 4.484 4.484 9.605 Å, 76.50 76.50 60.00°
Fractional positions:
Cs  0.062  0.062  0.813
Cs  0.272  0.272  0.185
F  0.666  0.666  0.002
Hg  0.500  0.500  0.501

Arrangement B

Density functional theory data (PBE-GGA) for an optimized crystal structure of Cs2HgF.

Computed properties:
**Calculated volume**: 378.1 Å³ per cell
**Symmetry**: No. 1

Cell: 7.129 7.939 8.274 Å, 78.97 64.53 63.45°
Fractional positions:
F  0.023  0.751  0.359
Cs  0.132  0.542  0.647
Hg  0.026  0.040  0.840
Hg  0.504  0.040  0.878
Cs  0.420  0.540  0.072
Cs  0.612  0.812  0.358
F  0.560  0.482  0.360
Cs  0.927  0.144  0.359

Arrangement C

Density functional theory data (PBE-GGA) for an optimized crystal structure of Cs2HgF.

Computed properties:
**Calculated volume**: 159.5 Å³ per cell
**Symmetry**: No. 225

Cell: 6.087 6.087 6.087 Å, 60.00 60.00 60.00°
Fractional positions:
F  0.000  0.000  0.000
Hg  0.500  0.500  0.500
Cs  0.750  0.750  0.750
Cs  0.250  0.250  0.250

Arrangement D

Density functional theory data (PBE-GGA) for an optimized crystal structure of Cs2HgF.

Computed properties:
**Calculated volume**: 325.3 Å³ per cell
**Symmetry**: No. 2

Cell: 4.289 7.723 10.609 Å, 105.28 90.06 105.78°
Fractional positions:
Cs  0.670  0.336  0.609
Hg  0.821  0.645  0.057
F  0.857  0.719  0.593
Hg  0.179  0.355  0.943
F  0.143  0.281  0.407
Cs  0.572  0.136  0.203
Cs  0.330  0.664  0.391
Cs  0.428  0.864  0.797

It comes down to arrangement D, which is 14 meV/atom more stable than the next structure.

Arrangement A

Density functional theory data (PBE-GGA) for an optimized crystal structure of Cs2HgF4.

Computed properties:
**Calculated volume**: 164.9 Å³ per cell
**Symmetry**: No. 139

Cell: 4.744 4.744 8.060 Å, 72.89 72.89 90.00°
Fractional positions:
F  0.155  0.155  0.689
Cs  0.357  0.357  0.286
F  0.000  0.500  0.000
F  0.500  0.000  0.000
Cs  0.643  0.643  0.714
Hg  0.000  0.000  0.000
F  0.845  0.845  0.311

Arrangement B

Density functional theory data (PBE-GGA) for an optimized crystal structure of Cs2HgF4.

Computed properties:
**Calculated volume**: 325.4 Å³ per cell
**Symmetry**: No. 11

Cell: 7.399 6.298 7.632 Å, 90.00 113.77 90.00°
Fractional positions:
F  0.295  0.750  0.046
F  0.379  0.999  0.614
F  0.705  0.250  0.954
Hg  0.376  0.750  0.372
F  0.621  0.499  0.386
Cs  0.344  0.250  0.018
F  0.621  0.001  0.386
F  0.043  0.750  0.289
F  0.379  0.501  0.614
F  0.957  0.250  0.711
Hg  0.624  0.250  0.628
Cs  0.656  0.750  0.982
Cs  0.999  0.250  0.347
Cs  0.001  0.750  0.653

It comes down to arrangement A, which is 40 meV/atom more stable than the next structure.

Arrangement A

Density functional theory data (PBE-GGA) for an optimized crystal structure of Cs2Hg2F7.

Computed properties:
**Calculated volume**: 243.7 Å³ per cell
**Symmetry**: No. 2

Cell: 4.859 7.176 9.153 Å, 121.46 112.26 90.17°
Each line ends with the local moment (μB).
Fractional positions:
F  0.994  0.492  0.817  0.08
F  0.835  0.902  0.610  0.08
F  0.667  0.372  0.379  0.08
F  0.000  0.000  0.000  0.18
F  0.165  0.098  0.390  0.08
Hg  0.889  0.682  0.699  0.15
Cs  0.534  0.808  0.223  0.00
F  0.333  0.628  0.621  0.08
F  0.006  0.508  0.183  0.08
Hg  0.111  0.318  0.301  0.15
Cs  0.466  0.192  0.777  0.00

Arrangement B

Density functional theory data (PBE-GGA) for an optimized crystal structure of Cs2Hg2F7.

Computed properties:
**Calculated volume**: 223.6 Å³ per cell
**Symmetry**: No. 65

Cell: 5.777 6.743 5.777 Å, 89.99 96.54 90.01°
Each line ends with the local moment (μB).
Fractional positions:
F  0.500  0.202  0.500  0.08
F  0.500  0.798  0.500  0.08
F  0.500  0.798  0.000  0.12
Hg  0.727  0.000  0.273  0.13
F  0.000  0.798  0.500  0.12
Cs  0.237  0.500  0.237  0.00
F  0.000  0.202  0.500  0.12
F  0.000  0.000  0.000  0.15
Cs  0.763  0.500  0.763  0.00
F  0.500  0.202  0.000  0.12
Hg  0.273  0.000  0.727  0.13

It comes down to arrangement A, which is 106 meV/atom more stable than the next structure.

Arrangement A

Density functional theory data (PBE-GGA) for an optimized crystal structure of CsHgN2F.

Computed properties:
**Calculated volume**: 104.9 Å³ per cell
**Symmetry**: No. 123

Cell: 4.395 4.395 5.433 Å, 90.00 90.00 90.00°
Each line ends with the local moment (μB).
Fractional positions:
N  0.000  0.500  0.000  1.12
Hg  0.000  0.000  0.000  0.12
F  0.000  0.000  0.500  0.05
Cs  0.500  0.500  0.500  0.03
N  0.500  0.000  0.000  1.12

Arrangement B

Density functional theory data (PBE-GGA) for an optimized crystal structure of CsHgN2F.

Computed properties:
**Calculated volume**: 131.8 Å³ per cell
**Symmetry**: No. 123

Cell: 5.014 5.014 5.243 Å, 90.00 90.00 90.00°
Each line ends with the local moment (μB).
Fractional positions:
N  0.000  0.500  0.000  1.18
F  0.000  0.000  0.500  0.14
Cs  0.000  0.000  0.000  0.01
N  0.500  0.000  0.000  1.18
Hg  0.500  0.500  0.500  0.18

It comes down to arrangement A, which is 919 meV/atom more stable than the next structure.

Arrangement A

Density functional theory data (PBE-GGA) for an optimized crystal structure of Cs2NaHgF.

Computed properties:
**Calculated volume**: 224.4 Å³ per cell
**Symmetry**: No. 123

Cell: 5.775 5.775 6.729 Å, 90.00 90.00 90.00°
Fractional positions:
F  0.000  0.000  0.000
Na  0.500  0.500  0.500
Hg  0.000  0.000  0.500
Cs  0.000  0.500  0.000
Cs  0.500  0.000  0.000

Arrangement B

Density functional theory data (PBE-GGA) for an optimized crystal structure of Cs2NaHgF.

Computed properties:
**Calculated volume**: 195.3 Å³ per cell
**Symmetry**: No. 123

Cell: 6.216 6.216 5.055 Å, 90.00 90.00 90.00°
Fractional positions:
Cs  0.000  0.500  0.000
Cs  0.500  0.000  0.000
F  0.000  0.000  0.000
Na  0.000  0.000  0.500
Hg  0.500  0.500  0.500

It comes down to arrangement B, which is 46 meV/atom more stable than the next structure.

Arrangement A

Density functional theory data (PBE-GGA) for an optimized crystal structure of CsHgOF2.

Computed properties:
**Calculated volume**: 97.3 Å³ per cell
**Symmetry**: No. 123

Cell: 4.829 4.829 4.173 Å, 90.00 90.00 90.00°
Each line ends with the local moment (μB).
Fractional positions:
O  0.000  0.000  0.500  0.41
F  0.500  0.000  0.000  0.01
Cs  0.500  0.500  0.500  0.00
Hg  0.000  0.000  0.000  0.06
F  0.000  0.500  0.000  0.01

Arrangement B

Density functional theory data (PBE-GGA) for an optimized crystal structure of CsHgOF2.

Computed properties:
**Calculated volume**: 118.9 Å³ per cell
**Symmetry**: No. 123

Cell: 5.228 5.228 4.350 Å, 90.00 90.00 90.00°
Fractional positions:
Hg  0.500  0.500  0.500
O  0.000  0.000  0.500
F  0.500  0.000  0.000
Cs  0.000  0.000  0.000
F  0.000  0.500  0.000

It comes down to arrangement A, which is 934 meV/atom more stable than the next structure.

Arrangement A

Density functional theory data (PBE-GGA) for an optimized crystal structure of Cs2HgPdF6.

Computed properties:
**Calculated volume**: 407.8 Å³ per cell
**Symmetry**: No. 166

Cell: 6.498 6.498 11.767 Å, 73.97 73.97 60.00°
Each line ends with the local moment (μB).
Fractional positions:
F  0.791  0.791  0.121  0.07
Hg  0.500  0.500  0.500  -0.01
Hg  0.000  0.000  0.000  0.10
F  0.298  0.791  0.121  0.07
F  0.209  0.209  0.879  0.07
F  0.396  0.396  0.356  0.09
F  0.209  0.702  0.879  0.07
Cs  0.288  0.288  0.136  0.00
F  0.147  0.604  0.644  0.09
Cs  0.879  0.879  0.363  0.00
Pd  0.409  0.409  0.773  1.42
Cs  0.121  0.121  0.637  0.00
F  0.604  0.604  0.644  0.09
F  0.791  0.298  0.121  0.07
Pd  0.591  0.591  0.227  1.42
Cs  0.712  0.712  0.864  0.00
F  0.396  0.853  0.356  0.09
F  0.604  0.147  0.644  0.09
F  0.853  0.396  0.356  0.09
F  0.702  0.209  0.879  0.07

Arrangement B

Density functional theory data (PBE-GGA) for an optimized crystal structure of Cs2HgPdF6.

Computed properties:
**Calculated volume**: 206.0 Å³ per cell
**Symmetry**: No. 139

Cell: 6.442 6.442 6.737 Å, 61.43 61.43 90.00°
Fractional positions:
Pd  0.500  0.500  0.000
F  0.279  0.721  0.000
Cs  0.750  0.250  0.500
F  0.210  0.210  0.581
F  0.721  0.279  0.000
Hg  0.000  0.000  0.000
F  0.721  0.721  0.000
F  0.279  0.279  0.000
F  0.790  0.790  0.419
Cs  0.250  0.750  0.500

It comes down to arrangement B, which is 58 meV/atom more stable than the next structure.

Arrangement A

Density functional theory data (PBE-GGA) for an optimized crystal structure of Cs2HgTeF.

Computed properties:
**Calculated volume**: 191.2 Å³ per cell
**Symmetry**: No. 123

Cell: 5.668 5.668 5.950 Å, 90.00 90.00 90.00°
Fractional positions:
Cs  0.500  0.000  0.000
Te  0.500  0.500  0.500
F  0.000  0.000  0.000
Hg  0.000  0.000  0.500
Cs  0.000  0.500  0.000

Arrangement B

Density functional theory data (PBE-GGA) for an optimized crystal structure of Cs2HgTeF.

Computed properties:
**Calculated volume**: 400.0 Å³ per cell
**Symmetry**: No. 11

Cell: 4.373 8.851 10.717 Å, 105.33 90.00 90.00°
Fractional positions:
Cs  0.750  0.895  0.673
Cs  0.250  0.105  0.327
F  0.750  0.100  0.150
F  0.250  0.900  0.850
Cs  0.250  0.233  0.005
Te  0.250  0.658  0.276
Cs  0.750  0.767  0.995
Te  0.750  0.342  0.724
Hg  0.750  0.542  0.410
Hg  0.250  0.458  0.590

It comes down to arrangement B, which is 127 meV/atom more stable than the next structure.

Arrangement A

Density functional theory data (PBE-GGA) for an optimized crystal structure of Cs3I2F.

Computed properties:
**Calculated volume**: 577.8 Å³ per cell
**Symmetry**: No. 63

Cell: 4.892 8.860 13.553 Å, 90.00 100.40 90.00°
Fractional positions:
F  0.349  0.750  0.698
I  0.174  0.750  0.349
Cs  0.792  0.750  0.583
I  0.994  0.750  0.989
Cs  0.414  0.495  0.828
Cs  0.586  0.505  0.172
Cs  0.586  0.995  0.172
I  0.006  0.250  0.011
F  0.651  0.250  0.302
Cs  0.414  0.005  0.828
I  0.826  0.250  0.651
Cs  0.208  0.250  0.417

Arrangement B

Density functional theory data (PBE-GGA) for an optimized crystal structure of Cs3I2F.

Computed properties:
**Calculated volume**: 591.1 Å³ per cell
**Symmetry**: No. 63

Cell: 8.205 8.714 8.714 Å, 108.44 90.00 90.00°
Fractional positions:
I  0.250  0.486  0.168
Cs  0.000  0.144  0.856
I  0.250  0.168  0.486
Cs  0.250  0.636  0.636
I  0.750  0.514  0.832
Cs  0.500  0.144  0.856
Cs  0.750  0.364  0.364
I  0.750  0.832  0.514
F  0.250  0.916  0.916
Cs  0.500  0.856  0.144
Cs  0.000  0.856  0.144
F  0.750  0.084  0.084

It comes down to arrangement A, which is 28 meV/atom more stable than the next structure.

Arrangement A

Density functional theory data (PBE-GGA) for an optimized crystal structure of CsIF3.

Computed properties:
**Calculated volume**: 283.6 Å³ per cell
**Symmetry**: No. 139

Cell: 7.388 7.388 7.368 Å, 59.91 59.91 90.00°
Fractional positions:
Cs  0.750  0.250  0.500
F  0.205  0.205  0.591
F  0.795  0.795  0.409
F  0.697  0.303  0.000
I  0.000  0.000  0.000
I  0.500  0.500  0.000
F  0.303  0.697  0.000
F  0.303  0.303  0.000
F  0.697  0.697  0.000
Cs  0.250  0.750  0.500

Arrangement B

Density functional theory data (PBE-GGA) for an optimized crystal structure of CsIF3.

Computed properties:
**Calculated volume**: 133.7 Å³ per cell
**Symmetry**: No. 221

Cell: 5.113 5.113 5.113 Å, 90.00 90.00 90.00°
Each line ends with the local moment (μB).
Fractional positions:
F  0.500  0.000  0.000  0.21
F  0.000  0.000  0.500  0.61
I  0.500  0.500  0.500  0.96
F  0.000  0.500  0.000  0.33
Cs  0.000  0.000  0.000  0.29

It comes down to arrangement A, which is 1031 meV/atom more stable than the next structure.